A plane-wave DFT calculation with SCAN was carried out for a crystal of CoW3Br relaxed with PBEsol.

abc: 4.4860 4.4860 4.4860
angles: 90.00 90.00 90.00
Space group Pm-3m (No. 221)
Unique sites:
Co 0.0000 0.0000 0.0000 [1 per cell]
W 0.0000 0.0000 0.5000 [3 per cell]
Br 0.5000 0.5000 0.5000 [1 per cell]

Properties
E_tot (eV per atom): -47.111